Crystalline ScTa3Ru at its relaxed geometry, computed with GGA-PBE.

Output
VASP energy in eV/atom: -8.16
Formation enthalpy at 0 K in meV per atom: 2073
Energy above the most stable polymorph in this dataset in eV per atom: 1.217

Cell and atoms, written as CIF:
```
data_ScTa3Ru
_chemical_formula_sum 'Sc1 Ta3 Ru1'
_cell_length_a 4.646
_cell_length_b 4.646
_cell_length_c 4.646
_cell_angle_alpha 90.00
_cell_angle_beta 90.00
_cell_angle_gamma 90.00
_space_group_name_H-M_alt 'P m -3 m'
_space_group_IT_number 221
_space_group_name_Hall '-P 4 2 3'
loop_
_atom_site_label
_atom_site_type_symbol
_atom_site_fract_x
_atom_site_fract_y
_atom_site_fract_z
_atom_site_occupancy
Sc1 Sc 0.000 0.000 0.000 1
Ta1 Ta 0.000 0.000 0.500 1
Ru1 Ru 0.500 0.500 0.500 1
```